1.
# Tl4InPb2

An optimized crystal structure of Tl4InPb2 (GGA-PBE, the Alexandria database).

abc: 9.5960 9.5960 9.6348
angles: 90.00 90.00 90.00
Space group I-4 (No. 82)
One atom of each set of equivalent atoms:
Tl1 0.0785 0.1723 0.2913
Tl2 0.0791 0.3277 0.9596
In1 0.0000 0.0000 0.0000
In2 0.0000 0.5000 0.2500
Pb1 0.1216 0.2505 0.6259

Results
The energy above the most stable polymorph in this dataset is 0.000 eV per atom. Its energy of formation from the pure elements is 86 meV per atom. The density of states at the Fermi level is 13.18 states/eV/cell. As for the size of the total moment: 0.000 μB per atom.

2.
# PmFeNi4

An optimized crystal structure of PmFeNi4 (GGA-PBE, the Alexandria database).

abc: 6.9609 6.9609 6.9609
angles: 90.00 90.00 90.00
Space group F-43m (No. 216)
One atom of each set of equivalent atoms:
Pm1 0.0000 0.0000 0.0000
Fe1 0.2500 0.2500 0.2500
Ni1 0.1237 0.1237 0.6237

Results
The energy above the most stable polymorph in this dataset is 0.000 eV per atom. Its energy of formation from the pure elements is -110 meV per atom. The density of states at the Fermi level is 25.88 states/eV/cell. As for the size of the total moment: 0.790 μB per atom.

3.
# DySc2S3

An optimized crystal structure of DySc2S3 (GGA-PBE, the Alexandria database).

abc: 9.6526 12.1019 5.5937
angles: 90.00 90.00 90.00
Space group Cmcm (No. 63)
One atom of each set of equivalent atoms:
Dy1 0.0000 0.0921 0.2500
Sc1 0.1790 0.5000 0.0000
S1 0.0000 0.4017 0.7500
S2 0.1527 0.1044 0.7500

Results
The energy above the most stable polymorph in this dataset is 0.651 eV per atom. The density of states at the Fermi level is 9.35 states/eV/cell. The calculation puts the uncorrected formation energy at -1.243 eV/atom. As for the size of the total moment: 0.000 μB per atom.

4.
# Re2NiPt

An optimized crystal structure of Re2NiPt (GGA-PBE, the Alexandria database).

abc: 2.7356 2.7356 26.3621
angles: 90.00 90.00 120.00
Space group R-3m (No. 166, hexagonal axes)
One atom of each set of equivalent atoms:
Re1 0.0000 0.0000 0.2459
Ni1 0.0000 0.0000 0.5000
Pt1 0.0000 0.0000 0.0000

Results
The energy above the most stable polymorph in this dataset is 0.157 eV per atom. Its energy of formation from the pure elements is 111 meV per atom. The density of states at the Fermi level is 15.56 states/eV/cell. As for the size of the total moment: 0.000 μB per atom.

5.
# K2H6Au3

An optimized crystal structure of K2H6Au3 (GGA-PBE, the Alexandria database).

abc: 14.2650 9.7727 7.4910
angles: 90.00 102.25 90.00
Space group C2/c (No. 15)
One atom of each set of equivalent atoms:
K1 0.1277 0.1616 0.1221
H1 0.0030 0.4763 0.5546
H2 0.0662 0.1268 0.4348
H3 0.1976 0.2392 0.8256
Au1 0.0000 0.3686 0.7500
Au2 0.1303 0.1877 0.6296

Results
Its calculated total energy is -2.97 eV per atom. The density of states at the Fermi level is 4.62 states/eV/cell. As for the size of the total moment: 0.000 μB per atom.

6.
# La2NbSi3Ir4

An optimized crystal structure of La2NbSi3Ir4 (GGA-PBE, the Alexandria database).

abc: 4.2050 4.2050 10.4454
angles: 90.00 90.00 90.00
Space group P-4m2 (No. 115)
One atom of each set of equivalent atoms:
La1 0.0000 0.5000 0.2440
Nb1 0.0000 0.0000 0.5000
Si1 0.0000 0.5000 0.8769
Si2 0.5000 0.5000 0.5000
Ir1 0.0000 0.0000 0.0000
Ir2 0.0000 0.5000 0.6410
Ir3 0.5000 0.5000 0.0000

Results
The density of states at the Fermi level is 6.93 states/eV/cell. The calculation puts the uncorrected formation energy at -0.936 eV/atom. As for the size of the total moment: 0.000 μB per atom.

7.
# YIr2Os2

An optimized crystal structure of YIr2Os2 (GGA-PBE, the Alexandria database).

abc: 4.0943 4.0943 10.9555
angles: 90.00 90.00 90.00
Space group I4/mmm (No. 139)
One atom of each set of equivalent atoms:
Y1 0.0000 0.0000 0.0000
Ir1 0.0000 0.5000 0.2500
Os1 0.0000 0.0000 0.3946

Results
The energy above the most stable polymorph in this dataset is 0.005 eV per atom. Its energy of formation from the pure elements is -66 meV per atom. The density of states at the Fermi level is 9.39 states/eV/cell. As for the size of the total moment: 0.000 μB per atom.

8.
# SrYPd2

An optimized crystal structure of SrYPd2 (GGA-PBE, the Alexandria database).

abc: 3.2755 5.7791 10.8677
angles: 90.00 90.00 90.00
Space group Immm (No. 71)
One atom of each set of equivalent atoms:
Sr1 0.0000 0.0000 0.0000
Y1 0.0000 0.0000 0.5000
Pd1 0.0000 0.0000 0.2618

Results
The energy above the most stable polymorph in this dataset is 1.075 eV per atom. Its energy of formation from the pure elements is 323 meV per atom. The density of states at the Fermi level is 6.71 states/eV/cell. As for the size of the total moment: 0.000 μB per atom.

9.
# FeReI2

An optimized crystal structure of FeReI2 (GGA-PBE, the Alexandria database).

abc: 5.8396 5.8396 11.5853
angles: 90.00 90.00 90.00
Space group I-42d (No. 122)
One atom of each set of equivalent atoms:
Fe1 0.0000 0.0000 0.0000
Re1 0.0000 0.0000 0.5000
I1 0.2303 0.2500 0.1250

Results
The energy above the most stable polymorph in this dataset is 0.000 eV per atom. The density of states at the Fermi level is 31.12 states/eV/cell. The calculation puts the uncorrected formation energy at 1.343 eV/atom. As for the size of the total moment: 0.000 μB per atom.

10.
# HoCd2Pb3

An optimized crystal structure of HoCd2Pb3 (GGA-PBE, the Alexandria database).

abc: 5.1884 16.0282 3.9500
angles: 90.00 90.00 90.00
Space group Cmmm (No. 65)
One atom of each set of equivalent atoms:
Ho1 0.0000 0.0000 0.0000
Cd1 0.0000 0.3431 0.0000
Pb1 0.0000 0.1759 0.5000
Pb2 0.0000 0.5000 0.5000

Results
The energy above the most stable polymorph in this dataset is 0.009 eV per atom. Its energy of formation from the pure elements is -131 meV per atom. The density of states at the Fermi level is 4.95 states/eV/cell. As for the size of the total moment: 0.000 μB per atom.